No. 1
PBE NaTc2F11, relaxed; SG = Ibam; E_form (uncorrected) = -2.1507 eV per atom
1.0
-4.581 4.604 5.274
4.581 -4.604 5.274
4.581 4.604 -5.274
Na Tc F
2 4 22
Direct
0.250 0.250 0.000
0.750 0.750 0.000
0.157 0.659 0.816
0.343 0.159 0.502
0.657 0.841 0.498
0.843 0.341 0.184
0.000 0.500 0.500
0.072 0.363 0.181
0.113 0.929 0.296
0.134 0.429 0.817
0.181 0.890 0.819
0.201 0.301 0.502
0.299 0.801 0.101
0.319 0.137 0.709
0.366 0.183 0.296
0.387 0.683 0.817
0.428 0.610 0.291
0.500 0.000 0.500
0.572 0.390 0.709
0.613 0.317 0.183
0.634 0.817 0.704
0.681 0.863 0.291
0.701 0.199 0.899
0.799 0.699 0.498
0.819 0.110 0.181
0.866 0.571 0.183
0.887 0.071 0.704
0.928 0.637 0.819

---

No. 2
PBE Na2TcF6, relaxed; excess energy over the best structure of this formula in the dataset = 0 meV/atom; SG = P4_2/mnm; E_form (uncorrected) = -2.5120 eV per atom
1.0
5.110 0.000 0.000
0.000 5.110 0.000
0.000 0.000 10.185
Na Tc F
4 2 12
Direct
0.000 0.000 0.164
0.000 0.000 0.836
0.500 0.500 0.336
0.500 0.500 0.664
0.000 0.000 0.500
0.500 0.500 0.000
0.184 0.184 0.357
0.184 0.184 0.643
0.227 0.227 0.000
0.273 0.727 0.500
0.316 0.684 0.143
0.316 0.684 0.857
0.684 0.316 0.143
0.684 0.316 0.857
0.727 0.273 0.500
0.773 0.773 0.000
0.816 0.816 0.357
0.816 0.816 0.643

---

No. 3
PBE Na6TcF12, relaxed; SG = R-3; E_form (uncorrected) = -2.3851 eV per atom
1.0
5.116 2.954 3.201
-5.116 2.954 3.201
0.000 -5.908 3.201
Na Tc F
6 1 12
Direct
0.103 0.874 0.658
0.126 0.342 0.897
0.342 0.897 0.126
0.658 0.103 0.874
0.874 0.658 0.103
0.897 0.126 0.342
0.500 0.500 0.500
0.101 0.667 0.884
0.116 0.899 0.333
0.238 0.384 0.539
0.333 0.116 0.899
0.384 0.539 0.238
0.461 0.762 0.616
0.539 0.238 0.384
0.616 0.461 0.762
0.667 0.884 0.101
0.762 0.616 0.461
0.884 0.101 0.667
0.899 0.333 0.116

---

No. 4
PBE Na3TcF, relaxed; excess energy over the best structure of this formula in the dataset = 0 meV/atom; SG = Pm-3m; E_form (uncorrected) = -0.1604 eV per atom
1.0
4.732 0.000 0.000
0.000 4.732 0.000
0.000 0.000 4.732
Na Tc F
3 1 1
Direct
0.000 0.000 0.500
0.000 0.500 0.000
0.500 0.000 0.000
0.500 0.500 0.500
0.000 0.000 0.000

---

No. 5
PBE Na3TcF6, relaxed; SG = Cmc2_1; E_form (uncorrected) = -2.2655 eV per atom
1.0
4.868 -5.076 0.000
4.868 5.076 0.000
0.000 0.000 5.955
Na Tc F
6 2 12
Direct
0.091 0.909 0.500
0.237 0.445 0.463
0.445 0.237 0.963
0.555 0.763 0.463
0.763 0.555 0.963
0.909 0.091 0.000
0.225 0.775 0.993
0.775 0.225 0.493
0.042 0.219 0.338
0.065 0.653 0.245
0.219 0.042 0.838
0.301 0.699 0.673
0.347 0.935 0.245
0.421 0.579 0.114
0.579 0.421 0.614
0.653 0.065 0.745
0.699 0.301 0.173
0.781 0.958 0.338
0.935 0.347 0.745
0.958 0.781 0.838

---

No. 6
PBE NaTcF3, relaxed; excess energy over the best structure of this formula in the dataset = 285 meV/atom; SG = Pm-3m; E_form (uncorrected) = -1.2765 eV per atom
1.0
4.087 0.000 0.000
0.000 4.087 0.000
0.000 0.000 4.087
Na Tc F
1 1 3
Direct
0.000 0.000 0.000
0.500 0.500 0.500
0.000 0.000 0.500
0.000 0.500 0.000
0.500 0.000 0.000